# FeAs3F, relaxed, DFT PBE+U
data_FeAs3F
_chemical_formula_sum 'Fe1 As3 F1'
_space_group_name_H-M_alt 'P m -3 m'
_space_group_IT_number 221
_space_group_name_Hall '-P 4 2 3'
_cell_length_a 4.528
_cell_length_b 4.528
_cell_length_c 4.528
_cell_angle_alpha 90.00
_cell_angle_beta 90.00
_cell_angle_gamma 90.00
loop_
_atom_site_label
_atom_site_type_symbol
_atom_site_fract_x
_atom_site_fract_y
_atom_site_fract_z
_atom_site_occupancy
Fe1 Fe 0.000 0.000 0.000 1
As1 As 0.000 0.500 0.500 1
F1 F 0.500 0.500 0.500 1
# Polymorph energy (0 for the lowest one) = 170 meV per atom
# Raw total energy = -3.69 eV/atom
# N(E_F) = 0.796 states/eV/atom
# Total moment = 0.773 μB per atom